Record 1
A plane-wave DFT calculation with PBE was carried out for an optimized crystal structure of Er3InFe.

VASP energy in eV/atom: -5.21
Crystal system: orthorhombic
Formation energy in eV/atom: -0.235

a = 8.6406 Å, b = 3.7363 Å, c = 15.6133 Å
α = 90.00°, β = 90.00°, γ = 90.00°
Last column: nearest neighbours and their distance in Å.
Space group Pnma (No. 62)
One atom of each set of equivalent atoms:
Er  0.0821  0.2500  0.1470 (multiplicity 4)  3 Fe 2.80-2.86
Er  0.2024  0.2500  0.5000 (multiplicity 4)  3 Fe 2.90-3.04
Er  0.2401  0.2500  0.8095 (multiplicity 4)  1 Fe 2.94
In  0.0487  0.7500  0.6587 (multiplicity 4)  9 Er 3.20-3.43
Fe  0.0490  0.2500  0.9650 (multiplicity 4)  2 Fe 2.32



Record 2
A plane-wave DFT calculation with PBE was carried out for an optimized crystal structure of Er12In3Fe2.

VASP energy in eV/atom: -4.93
Crystal system: tetragonal
Formation energy in eV/atom: -0.231

a = 9.5855 Å, b = 9.5855 Å, c = 9.8304 Å
α = 90.00°, β = 90.00°, γ = 90.00°
Last column: nearest neighbours and their distance in Å.
Space group I4/mmm (No. 139)
One atom of each set of equivalent atoms:
Er  0.0000  0.2468  0.2104 (multiplicity 16)  1 Fe 2.95, 2 In 3.14-3.19
Er  0.1964  0.1964  0.5000 (multiplicity 8)  2 Fe 2.88
In  0.0000  0.0000  0.0000 (multiplicity 2)  8 Er 3.14
In  0.0000  0.5000  0.0000 (multiplicity 4)  8 Er 3.19-3.47
Fe  0.0000  0.0000  0.3894 (multiplicity 4)  1 Fe 2.18



Record 3
A plane-wave DFT calculation with PBE was carried out for an optimized crystal structure of Er3InFe8.

VASP energy in eV/atom: -7.12
Crystal system: trigonal
Formation energy in eV/atom: -0.106

a = 5.0679 Å, b = 5.0679 Å, c = 24.8568 Å
α = 90.00°, β = 90.00°, γ = 120.00°
Last column: nearest neighbours and their distance in Å.
Space group R3m (No. 160, hexagonal axes)
One atom of each set of equivalent atoms:
Er  0.0000  0.0000  0.0000 (multiplicity 3)  12 Fe 2.93-2.98, 3 In 3.08, 1 Er 3.14
Er  0.0000  0.0000  0.1263 (multiplicity 3)  12 Fe 2.97-2.99, 4 Er 3.12-3.14
Er  0.0000  0.0000  0.5036 (multiplicity 3)  12 Fe 2.95-3.03, 1 In 3.08, 3 Er 3.12
In  0.0000  0.0000  0.6275 (multiplicity 3)  12 Fe 2.94-2.98, 4 Er 3.08
Fe  0.0000  0.0000  0.3148 (multiplicity 3)  6 Fe 2.51-2.54
Fe  0.0000  0.0000  0.8134 (multiplicity 3)  6 Fe 2.54-2.56
Fe  0.0001  0.5000  0.0634 (multiplicity 9)  6 Fe 2.51-2.54
Fe  0.9999  0.5000  0.5647 (multiplicity 9)  6 Fe 2.53-2.56



Record 4
A plane-wave DFT calculation with PBE was carried out for an optimized crystal structure of Er5In2Fe2.

VASP energy in eV/atom: -5.21
Crystal system: orthorhombic
Formation energy in eV/atom: -0.187

a = 16.9309 Å, b = 7.1936 Å, c = 7.1859 Å
α = 90.00°, β = 90.00°, γ = 90.00°
Last column: nearest neighbours and their distance in Å.
Space group Cmce (No. 64)
One atom of each set of equivalent atoms:
Er  0.0000  0.0000  0.0000 (multiplicity 4)  4 Fe 2.93
Er  0.1180  0.1869  0.3165 (multiplicity 16)  3 Fe 2.91-2.96, 2 In 3.18-3.24
In  0.2309  0.0000  0.0000 (multiplicity 8)  6 Er 3.18-3.26
Fe  0.0000  0.1068  0.6063 (multiplicity 8)  1 Fe 2.17



Record 5
A plane-wave DFT calculation with PBE was carried out for an optimized crystal structure of Er8In2Fe.

VASP energy in eV/atom: -4.76
Crystal system: monoclinic
Formation energy in eV/atom: -0.176

a = 17.0260 Å, b = 5.4648 Å, c = 6.8324 Å
α = 90.00°, β = 113.21°, γ = 90.00°
Last column: nearest neighbours and their distance in Å.
Space group C2/m (No. 12)
One atom of each set of equivalent atoms:
Er  0.0047  0.0000  0.2638 (multiplicity 4)  2 Fe 3.19, 8 Er 3.29-3.54, 2 In 3.29-3.47
Er  0.1121  0.5000  0.8880 (multiplicity 4)  1 Fe 2.58
Er  0.1292  0.5000  0.3876 (multiplicity 4)  1 Fe 2.60
Er  0.1942  0.0000  0.7196 (multiplicity 4)  4 In 3.27-3.57, 8 Er 3.33-3.49
In  0.1843  0.0000  0.1882 (multiplicity 4)  11 Er 3.27-3.57
Fe  0.0000  0.5000  0.5000 (multiplicity 2)  4 Er 2.58-2.60



Record 6
A plane-wave DFT calculation with PBE was carried out for an optimized crystal structure of Er3Sc3In2Fe.

VASP energy in eV/atom: -5.45
Crystal system: hexagonal
Formation energy in eV/atom: -0.273

a = 8.2597 Å, b = 8.2597 Å, c = 3.7349 Å
α = 90.00°, β = 90.00°, γ = 120.00°
Last column: nearest neighbours and their distance in Å.
Space group P-62m (No. 189)
One atom of each set of equivalent atoms:
Er  0.0000  0.3848  0.0000 (multiplicity 3)  4 In 3.17, 1 Fe 3.18, 4 Sc 3.34
Sc  0.0000  0.7715  0.5000 (multiplicity 3)  2 Fe 2.65
In  0.3333  0.6667  0.5000 (multiplicity 2)  6 Er 3.17, 3 Sc 3.27
Fe  0.0000  0.0000  0.0000 (multiplicity 1)  6 Sc 2.65



Record 7
A plane-wave DFT calculation with PBE was carried out for an optimized crystal structure of Er6Fe2Ir.

VASP energy in eV/atom: -6.16
Crystal system: orthorhombic
Formation energy in eV/atom: -0.250

a = 9.1628 Å, b = 9.4154 Å, c = 9.5301 Å
α = 90.00°, β = 90.00°, γ = 90.00°
Last column: nearest neighbours and their distance in Å.
Space group Immm (No. 71)
One atom of each set of equivalent atoms:
Er  0.0000  0.1798  0.2001 (multiplicity 8)  3 Fe 2.74-2.79
Er  0.1785  0.5000  0.2436 (multiplicity 8)  1 Ir 2.94, 3 Fe 3.03-3.04, 1 Er 3.27
Er  0.1917  0.2416  0.5000 (multiplicity 8)  2 Ir 2.87-3.00, 2 Fe 2.96-3.08
Fe  0.0000  0.3892  0.0000 (multiplicity 4)  1 Fe 2.09
Fe  0.1246  0.0000  0.0000 (multiplicity 4)  1 Fe 2.28
Ir  0.0000  0.0000  0.5000 (multiplicity 2)  4 Er 2.87
Ir  0.0000  0.5000  0.5000 (multiplicity 2)  8 Er 2.94-3.00